(1)
! PBE-GGA PaZnC, relaxed; values from VASP
&SYSTEM
  ibrav = 0, nat = 3, ntyp = 3
/
ATOMIC_SPECIES
Pa 231.04 Pa.upf
Zn 65.41 Zn.upf
C 12.01 C.upf
CELL_PARAMETERS angstrom
-1.6159 1.6159 5.5637
1.6159 -1.6159 5.5637
1.6159 1.6159 -5.5637
ATOMIC_POSITIONS angstrom
Pa 0.0000 0.0000 0.0000
Zn 0.0000 0.0000 7.9241
C 0.0000 0.0000 4.9816
! **Crystal system**: tetragonal
! **Final energy**: -6.37 eV per atom
! **Energy of formation from the pure elements**: 0.89 eV per formula unit

=====

(2)
! PBE-GGA SrAlTeI2, relaxed; values from VASP
&SYSTEM
  ibrav = 0, nat = 5, ntyp = 4
/
ATOMIC_SPECIES
Sr 87.62 Sr.upf
Al 26.98 Al.upf
Te 127.60 Te.upf
I 126.90 I.upf
CELL_PARAMETERS angstrom
6.3439 0.0000 0.0000
0.0000 6.3439 0.0000
0.0000 0.0000 6.4248
ATOMIC_POSITIONS angstrom
Sr 0.0000 0.0000 0.0000
Al 3.1720 3.1720 3.2124
Te 0.0000 0.0000 3.2124
I 0.0000 3.1720 0.0000
I 3.1720 0.0000 0.0000
! **Crystal system**: tetragonal
! **Final energy**: -2.68 eV per atom

=====

Number 1: theoretical density 8.8 g/cm3. Number 2: theoretical density 3.2 g/cm3.